[1]
Entry from Alexandria: a relaxed Ba2Hg13 crystal (PBE).

Results
The value obtained for the calculated density is 9.8 g/cm3. Its magnetization is 0.0 μB/f.u. Its excess energy over the best structure of this formula in the dataset is 0 meV per atom. For the density of states at the Fermi level, the calculation gives 7.34 states/eV/cell. The formation energy from the elements is -0.212 eV per atom.

Cell and atoms, written as CIF:
```
data_Ba2Hg13
_chemical_formula_sum 'Ba2 Hg13'
_cell_length_a 6.981
_cell_length_b 6.981
_cell_length_c 12.290
_cell_angle_alpha 73.50
_cell_angle_beta 73.50
_cell_angle_gamma 60.00
_symmetry_space_group_name_H-M 'P 1'
_symmetry_Int_Tables_number 1
loop_
_symmetry_equiv_pos_as_xyz
'x,y,z'
loop_
_atom_site_label
_atom_site_fract_x
_atom_site_fract_y
_atom_site_fract_z
_atom_site_occupancy
Hg1 0.450 0.450 0.126 1
Hg2 0.550 0.026 0.874 1
Hg3 0.550 0.550 0.874 1
Hg4 0.745 0.192 0.318 1
Hg5 0.500 0.500 0.500 1
Hg6 0.450 0.974 0.126 1
Hg7 0.745 0.745 0.318 1
Hg8 0.255 0.255 0.682 1
Hg9 0.026 0.550 0.874 1
Hg10 0.808 0.255 0.682 1
Hg11 0.255 0.808 0.682 1
Hg12 0.192 0.745 0.318 1
Hg13 0.974 0.450 0.126 1
Ba1 0.800 0.800 0.599 1
Ba2 0.200 0.200 0.401 1
```

***

[2]
Entry from Alexandria: a relaxed BaHg crystal (PBE).

Results
The value obtained for the calculated density is 5.6 g/cm3. Its magnetization is 0.0 μB/f.u. For the density of states at the Fermi level, the calculation gives 0.99 states/eV/cell. The formation energy from the elements is -0.172 eV per atom.

Cell and atoms, written as CIF:
```
data_BaHg
_chemical_formula_sum 'Ba2 Hg2'
_cell_length_a 4.551
_cell_length_b 4.551
_cell_length_c 11.091
_cell_angle_alpha 90.00
_cell_angle_beta 90.00
_cell_angle_gamma 120.00
_symmetry_space_group_name_H-M 'P 1'
_symmetry_Int_Tables_number 1
loop_
_symmetry_equiv_pos_as_xyz
'x,y,z'
loop_
_atom_site_label
_atom_site_fract_x
_atom_site_fract_y
_atom_site_fract_z
_atom_site_occupancy
Ba1 0.333 0.667 0.032 1
Ba2 0.667 0.333 0.532 1
Hg1 0.333 0.667 0.340 1
Hg2 0.667 0.333 0.840 1
```

***

[3]
Entry from Alexandria: a relaxed BaHg3 crystal (PBE).

Results
The value obtained for the calculated density is 9.6 g/cm3. Its magnetization is 0.0 μB/f.u. For the density of states at the Fermi level, the calculation gives 10.06 states/eV/cell. The formation energy from the elements is -0.396 eV per atom.

Cell and atoms, written as CIF:
```
data_BaHg3
_chemical_formula_sum 'Ba4 Hg12'
_cell_length_a 7.200
_cell_length_b 7.200
_cell_length_c 11.393
_cell_angle_alpha 90.00
_cell_angle_beta 90.00
_cell_angle_gamma 120.00
_symmetry_space_group_name_H-M 'P 1'
_symmetry_Int_Tables_number 1
loop_
_symmetry_equiv_pos_as_xyz
'x,y,z'
loop_
_atom_site_label
_atom_site_fract_x
_atom_site_fract_y
_atom_site_fract_z
_atom_site_occupancy
Ba1 0.333 0.667 0.250 1
Ba2 0.000 0.000 0.500 1
Ba3 0.667 0.333 0.750 1
Ba4 0.000 0.000 0.000 1
Hg1 0.500 0.500 0.000 1
Hg2 0.365 0.182 0.250 1
Hg3 0.500 0.500 0.500 1
Hg4 0.635 0.818 0.750 1
Hg5 0.182 0.818 0.750 1
Hg6 0.182 0.365 0.750 1
Hg7 0.818 0.182 0.250 1
Hg8 0.818 0.635 0.250 1
Hg9 0.500 0.000 0.500 1
Hg10 0.500 0.000 0.000 1
Hg11 0.000 0.500 0.500 1
Hg12 0.000 0.500 0.000 1
```

***

Among the records above, which one has the highest calculated density? Ba2Hg13

***

magnetization of number 3 (BaHg3)? 0.0 μB/f.u.

***

What did the second record say?
Entry from Alexandria: a relaxed BaHg crystal (PBE).

Results
The value obtained for the calculated density is 5.6 g/cm3. Its magnetization is 0.0 μB/f.u. For the density of states at the Fermi level, the calculation gives 0.99 states/eV/cell. The formation energy from the elements is -0.172 eV per atom.

Cell and atoms, written as CIF:
```
data_BaHg
_chemical_formula_sum 'Ba2 Hg2'
_cell_length_a 4.551
_cell_length_b 4.551
_cell_length_c 11.091
_cell_angle_alpha 90.00
_cell_angle_beta 90.00
_cell_angle_gamma 120.00
_symmetry_space_group_name_H-M 'P 1'
_symmetry_Int_Tables_number 1
loop_
_symmetry_equiv_pos_as_xyz
'x,y,z'
loop_
_atom_site_label
_atom_site_fract_x
_atom_site_fract_y
_atom_site_fract_z
_atom_site_occupancy
Ba1 0.333 0.667 0.032 1
Ba2 0.667 0.333 0.532 1
Hg1 0.333 0.667 0.340 1
Hg2 0.667 0.333 0.840 1
```

***

Which formula does entry 2 have? BaHg